Record 1
# HfCdB3 | Alexandria | SCAN | single point on PBEsol structure
data_HfCdB3
_chemical_formula_sum 'Hf1 Cd1 B3'
_symmetry_space_group_name_H-M 'P m -3 m'
_symmetry_Int_Tables_number 221
_symmetry_space_group_name_Hall '-P 4 2 3'
_cell_length_a 4.375
_cell_length_b 4.375
_cell_length_c 4.375
_cell_angle_alpha 90.00
_cell_angle_beta 90.00
_cell_angle_gamma 90.00
loop_
_atom_site_label
_atom_site_type_symbol
_atom_site_fract_x
_atom_site_fract_y
_atom_site_fract_z
Hf1 Hf 0.000 0.000 0.000
Cd1 Cd 0.500 0.500 0.500
B1 B 0.000 0.000 0.500
# size of the total moment = 0.000 Bohr magnetons per cell
# calculated formation energy = 1.62 eV/atom
# E = -21.455 eV/atom

***

Record 2
# Hf3CdB | Alexandria | SCAN | single point on PBEsol structure
data_Hf3CdB
_chemical_formula_sum 'Hf3 Cd1 B1'
_symmetry_space_group_name_H-M 'P m -3 m'
_symmetry_Int_Tables_number 221
_symmetry_space_group_name_Hall '-P 4 2 3'
_cell_length_a 4.547
_cell_length_b 4.547
_cell_length_c 4.547
_cell_angle_alpha 90.00
_cell_angle_beta 90.00
_cell_angle_gamma 90.00
loop_
_atom_site_label
_atom_site_type_symbol
_atom_site_fract_x
_atom_site_fract_y
_atom_site_fract_z
Hf1 Hf 0.000 0.000 0.500
Cd1 Cd 0.500 0.500 0.500
B1 B 0.000 0.000 0.000
# size of the total moment = 0.000 Bohr magnetons per cell
# calculated formation energy = -0.30 eV/atom
# E = -45.470 eV/atom

***

Record 3
# Hf2CdBMo | Alexandria | SCAN | single point on PBEsol structure
data_Hf2CdBMo
_chemical_formula_sum 'Hf2 Cd1 B1 Mo1'
_symmetry_space_group_name_H-M 'P 4/m m m'
_symmetry_Int_Tables_number 123
_symmetry_space_group_name_Hall '-P 4 2'
_cell_length_a 4.536
_cell_length_b 4.536
_cell_length_c 4.191
_cell_angle_alpha 90.00
_cell_angle_beta 90.00
_cell_angle_gamma 90.00
loop_
_atom_site_label
_atom_site_type_symbol
_atom_site_fract_x
_atom_site_fract_y
_atom_site_fract_z
Hf1 Hf 0.000 0.500 0.000
Cd1 Cd 0.000 0.000 0.500
B1 B 0.000 0.000 0.000
Mo1 Mo 0.500 0.500 0.500
# size of the total moment = 0.000 Bohr magnetons per cell
# calculated formation energy = 0.30 eV/atom
# E = -39.318 eV/atom